## w
A plane-wave DFT calculation with meta-GGA SCAN was carried out for CoSiN2F at its PBEsol-relaxed geometry.

Values from the calculation:
- magnetization (Bohr magnetons per cell) = 2.229

Cell and atoms, written as POSCAR:
```
CoSiN2F
1.0
3.4757 0.0000 0.0000
0.0000 3.5934 0.0000
0.0000 0.0000 3.5934
Si N Co F
1 2 1 1
Direct
0.0000 0.0000 0.0000
0.0000 0.0000 0.5000
0.0000 0.5000 0.0000
0.5000 0.5000 0.5000
0.5000 0.0000 0.0000
```

## x
A plane-wave DFT calculation with meta-GGA SCAN was carried out for CoSiN2F at its PBEsol-relaxed geometry.

Values from the calculation:
- magnetization (Bohr magnetons per cell) = 2.717

Cell and atoms, written as POSCAR:
```
CoSiN2F
1.0
3.6672 0.0000 0.0000
0.0000 3.6672 0.0000
0.0000 0.0000 3.7572
Si N Co F
1 2 1 1
Direct
0.5000 0.5000 0.5000
0.0000 0.5000 0.0000
0.5000 0.0000 0.0000
0.0000 0.0000 0.0000
0.0000 0.0000 0.5000
```

Short version: w, x, most stable first.

## w
A plane-wave DFT calculation with meta-GGA SCAN was carried out for Co2O3F at its PBEsol-relaxed geometry.

Values from the calculation:
- magnetization (Bohr magnetons per cell) = 12.125

Cell and atoms, written as POSCAR:
```
Co2O3F
1.0
-2.3253 3.3868 4.0170
1.3380 -6.1904 1.8844
5.7164 1.7848 1.8042
Co O F
8 12 4
Direct
0.3745 0.7490 0.7234
0.8745 0.7490 0.7766
0.1256 0.7511 0.2500
0.6256 0.7511 0.2500
0.1255 0.2510 0.2234
0.6255 0.2510 0.2766
0.3744 0.2489 0.7500
0.8744 0.2489 0.7500
0.9730 0.4461 0.2500
0.4730 0.4461 0.2500
0.0270 0.5539 0.7500
0.5270 0.5539 0.7500
0.6231 0.2463 0.5654
0.3769 0.7537 0.4346
0.1231 0.2463 0.9346
0.8769 0.7537 0.0654
0.7777 0.0554 0.2500
0.2777 0.0554 0.2500
0.7223 0.9446 0.7500
0.2223 0.9446 0.7500
0.1266 0.2532 0.5329
0.8734 0.7468 0.4671
0.6266 0.2532 0.9671
0.3734 0.7468 0.0329
```

## x
A plane-wave DFT calculation with meta-GGA SCAN was carried out for Co2O3F at its PBEsol-relaxed geometry.

Values from the calculation:
- magnetization (Bohr magnetons per cell) = 8.076

Cell and atoms, written as POSCAR:
```
Co2O3F
1.0
4.3173 0.0227 0.0000
-0.2505 4.3101 0.0000
0.0000 0.0000 11.4404
Co O F
8 12 4
Direct
0.5269 0.4731 0.8749
0.4731 0.5269 0.3749
0.0000 0.0000 0.5000
0.0000 0.0000 0.0000
0.9892 0.0108 0.7500
0.0108 0.9892 0.2500
0.5270 0.4730 0.6251
0.4730 0.5270 0.1251
0.1862 0.8138 0.1252
0.1863 0.8137 0.3748
0.8138 0.1862 0.6252
0.8137 0.1863 0.8748
0.3045 0.3044 0.5000
0.3044 0.3045 0.0000
0.6956 0.6955 0.5000
0.6955 0.6956 0.0000
0.3185 0.2892 0.7500
0.2892 0.3185 0.2500
0.7108 0.6815 0.7500
0.6815 0.7108 0.2500
0.2120 0.7880 0.6283
0.2120 0.7880 0.8717
0.7880 0.2120 0.1283
0.7880 0.2120 0.3717
```

Short version: x, w, most stable first.

## w
A plane-wave DFT calculation with meta-GGA SCAN was carried out for Co2OF3 at its PBEsol-relaxed geometry.

Values from the calculation:
- magnetization (Bohr magnetons per cell) = 19.590

Cell and atoms, written as POSCAR:
```
Co2OF3
1.0
5.3984 -0.0377 -0.0377
1.6318 5.1460 -0.0377
0.4600 0.3342 8.8633
Co O F
8 4 12
Direct
0.8948 0.8948 0.6024
0.6475 0.6475 0.8863
0.5000 0.5000 0.5000
0.2619 0.2619 0.7687
0.7381 0.7381 0.2313
0.1052 0.1052 0.3976
0.3525 0.3525 0.1137
0.0000 0.0000 0.0000
0.2169 0.7831 0.5000
0.2152 0.2152 0.9753
0.7848 0.7848 0.0247
0.7831 0.2169 0.5000
0.5689 0.9592 0.7488
0.9592 0.5689 0.7488
0.4924 0.4924 0.7386
0.9681 0.9681 0.2252
0.7211 0.7211 0.4606
0.2789 0.2789 0.5394
0.0319 0.0319 0.7748
0.5076 0.5076 0.2614
0.3037 0.6963 0.0000
0.0408 0.4311 0.2512
0.4311 0.0408 0.2512
0.6963 0.3037 0.0000
```

## x
A plane-wave DFT calculation with meta-GGA SCAN was carried out for Co2OF3 at its PBEsol-relaxed geometry.

Values from the calculation:
- magnetization (Bohr magnetons per cell) = 10.053

Cell and atoms, written as POSCAR:
```
Co2OF3
1.0
5.4465 -0.0976 0.0195
-2.1470 5.0064 -0.0195
-1.8718 -2.3052 4.5669
Co O F
4 2 6
Direct
0.7096 0.2500 0.9596
0.0000 0.0000 0.5000
0.5000 0.5000 0.5000
0.2904 0.7500 0.0404
0.4228 0.2500 0.6728
0.5772 0.7500 0.3272
0.9717 0.7500 0.7217
0.0283 0.2500 0.2783
0.5000 0.7957 0.7957
0.0000 0.2957 0.7957
0.0000 0.7043 0.2043
0.5000 0.2043 0.2043
```

## y
A plane-wave DFT calculation with meta-GGA SCAN was carried out for Co2OF3 at its PBEsol-relaxed geometry.

Values from the calculation:
- magnetization (Bohr magnetons per cell) = 10.009

Cell and atoms, written as POSCAR:
```
Co2OF3
1.0
-2.4922 -2.6831 2.7494
3.3187 -3.1166 -0.4919
2.7946 2.2323 4.7117
Co O F
4 2 6
Direct
0.5387 0.5387 0.2500
0.4613 0.4613 0.7500
0.0000 0.0000 0.5000
0.0000 0.0000 0.0000
0.8262 0.8262 0.2500
0.1738 0.1738 0.7500
0.7790 0.7790 0.7500
0.2210 0.2210 0.2500
0.2956 0.7044 0.5000
0.2956 0.7044 0.0000
0.7044 0.2956 0.5000
0.7044 0.2956 0.0000
```

Short version: y, x, w, most stable first.

## w
A plane-wave DFT calculation with meta-GGA SCAN was carried out for CoPtOF2 at its PBEsol-relaxed geometry.

Values from the calculation:
- magnetization (Bohr magnetons per cell) = 4.019

Cell and atoms, written as POSCAR:
```
CoPtOF2
1.0
3.5655 0.0000 0.0000
0.0000 3.9851 0.0000
0.0000 0.0000 3.9851
Co O Pt F
1 1 1 2
Direct
0.0000 0.0000 0.0000
0.5000 0.0000 0.0000
0.5000 0.5000 0.5000
0.0000 0.0000 0.5000
0.0000 0.5000 0.0000
```

## x
A plane-wave DFT calculation with meta-GGA SCAN was carried out for CoPtOF2 at its PBEsol-relaxed geometry.

Values from the calculation:
- magnetization (Bohr magnetons per cell) = 2.940

Cell and atoms, written as POSCAR:
```
CoPtOF2
1.0
-1.6508 -0.3563 -3.4200
-3.8089 -0.3788 1.8779
-0.5151 4.2280 -0.1919
Co O Pt F
1 1 1 2
Direct
0.5000 0.5000 0.5000
0.5000 0.0000 0.0000
0.0000 0.0000 0.0000
0.0000 0.0000 0.5000
0.0000 0.5000 0.0000
```

Short version: w, x, most stable first.

## w
A plane-wave DFT calculation with meta-GGA SCAN was carried out for CoSb3F at its PBEsol-relaxed geometry.

Values from the calculation:
- magnetization (Bohr magnetons per cell) = 0.001

Cell and atoms, written as POSCAR:
```
CoSb3F
1.0
4.8120 0.0000 0.0000
0.0000 4.8120 0.0000
0.0000 0.0000 4.8120
Sb Co F
3 1 1
Direct
0.0000 0.5000 0.0000
0.0000 0.0000 0.5000
0.5000 0.0000 0.0000
0.0000 0.0000 0.0000
0.5000 0.5000 0.5000
```

## x
A plane-wave DFT calculation with meta-GGA SCAN was carried out for CoSb3F at its PBEsol-relaxed geometry.

Values from the calculation:
- magnetization (Bohr magnetons per cell) = 2.399

Cell and atoms, written as POSCAR:
```
CoSb3F
1.0
-2.3230 -2.2592 3.4661
-0.3577 -3.8505 -2.7495
4.1219 -1.6074 1.7148
Sb Co F
3 1 1
Direct
0.0000 0.5000 0.0000
0.0000 0.0000 0.5000
0.5000 0.0000 0.0000
0.5000 0.5000 0.5000
0.0000 0.0000 0.0000
```

Short version: w, x, most stable first.

## w
A plane-wave DFT calculation with meta-GGA SCAN was carried out for CoSiF2 at its PBEsol-relaxed geometry.

Values from the calculation:
- magnetization (Bohr magnetons per cell) = 5.290

Cell and atoms, written as POSCAR:
```
CoSiF2
1.0
-0.6644 3.0573 4.1707
0.0184 -5.7183 0.9358
4.2995 -2.0098 2.1582
Si Co F
2 2 4
Direct
0.2500 0.5000 0.2500
0.5000 0.0000 0.5000
0.7500 0.5000 0.7500
0.0000 0.0000 0.0000
0.7017 0.7500 0.3750
0.0483 0.7500 0.8750
0.8750 0.2500 0.7017
0.3750 0.2500 0.0483
```

## x
A plane-wave DFT calculation with meta-GGA SCAN was carried out for CoSiF2 at its PBEsol-relaxed geometry.

Values from the calculation:
- magnetization (Bohr magnetons per cell) = 2.626

Cell and atoms, written as POSCAR:
```
CoSiF2
1.0
-1.2540 3.4805 1.5514
-1.2971 0.1539 3.7931
2.1962 1.8564 2.7971
Si Co F
1 1 2
Direct
0.0000 0.0000 0.0000
0.5000 0.5000 0.5000
0.2500 0.2500 0.2500
0.7500 0.7500 0.7500
```

Short version: w, x, most stable first.

## w
A plane-wave DFT calculation with meta-GGA SCAN was carried out for TaCoF2 at its PBEsol-relaxed geometry.

Values from the calculation:
- magnetization (Bohr magnetons per cell) = 4.057

Cell and atoms, written as POSCAR:
```
TaCoF2
1.0
-4.9146 -0.5485 -0.2964
2.1529 0.2969 5.1534
-0.3263 4.2698 -2.4908
F Co Ta
4 2 2
Direct
0.4059 0.2500 0.3750
0.8441 0.2500 0.8750
0.1250 0.7500 0.5941
0.6250 0.7500 0.1559
0.7500 0.5000 0.2500
0.5000 0.0000 0.5000
0.2500 0.5000 0.7500
0.0000 0.0000 0.0000
```

## x
A plane-wave DFT calculation with meta-GGA SCAN was carried out for TaCoF2 at its PBEsol-relaxed geometry.

Values from the calculation:
- magnetization (Bohr magnetons per cell) = 2.212

Cell and atoms, written as POSCAR:
```
TaCoF2
1.0
-0.9053 -2.5804 0.6016
1.1055 -1.4045 2.1553
-4.9194 1.4373 5.2787
F Co Ta
2 1 1
Direct
0.8999 0.8999 0.3004
0.1001 0.1001 0.6996
0.5000 0.5000 0.5000
0.0000 0.0000 0.0000
```

Short version: x, w, most stable first.

## w
A plane-wave DFT calculation with meta-GGA SCAN was carried out for Fe4Co3 at its PBEsol-relaxed geometry.

Values from the calculation:
- magnetization (Bohr magnetons per cell) = 16.238

Cell and atoms, written as POSCAR:
```
Fe4Co3
1.0
-1.7270 -0.1034 -3.5539
-0.9746 -3.4695 -1.6235
-5.9724 -0.9158 0.7309
Co Fe
3 4
Direct
0.9985 0.9985 0.0044
0.7156 0.7156 0.8532
0.1427 0.1427 0.5718
0.4283 0.4283 0.7152
0.8571 0.8571 0.4288
0.5717 0.5717 0.2849
0.2861 0.2861 0.1417
```

## x
A plane-wave DFT calculation with meta-GGA SCAN was carried out for Fe4Co3 at its PBEsol-relaxed geometry.

Values from the calculation:
- magnetization (Bohr magnetons per cell) = 16.316

Cell and atoms, written as POSCAR:
```
Fe4Co3
1.0
-1.6806 -1.6222 -0.6510
0.0458 -1.2007 5.9608
-2.9403 4.9544 -1.9233
Co Fe
3 4
Direct
0.7965 0.7147 0.6444
0.5000 0.0000 0.5000
0.2035 0.2853 0.3556
0.9300 0.5722 0.2162
0.6445 0.8586 0.0729
0.3555 0.1414 0.9271
0.0700 0.4278 0.7838
```

Short version: w, x, most stable first.